No. 1
First-principles (PBE) data for crystalline NiPbSe2 at its relaxed geometry, as listed in the Alexandria database.

The structure in CIF format:
```
data_NiPbSe2
_chemical_formula_sum 'Ni1 Pb1 Se2'
_symmetry_space_group_name_H-M 'P 1 m 1'
_symmetry_Int_Tables_number 6
_cell_length_a 4.527
_cell_length_b 3.936
_cell_length_c 6.260
_cell_angle_alpha 90.00
_cell_angle_beta 111.13
_cell_angle_gamma 90.00
loop_
_symmetry_equiv_pos_as_xyz
'x,y,z'
'x,-y,z'
loop_
_atom_site_label
_atom_site_type_symbol
_atom_site_fract_x
_atom_site_fract_y
_atom_site_fract_z
Ni1 Ni 0.000 0.000 0.000
Pb1 Pb 0.388 0.500 0.772
Se1 Se 0.095 0.500 0.190
Se2 Se 0.807 0.000 0.612
```



No. 2
First-principles (PBE) data for crystalline NiPbSe2 at its relaxed geometry, as listed in the Alexandria database.

The structure in CIF format:
```
data_NiPbSe2
_chemical_formula_sum 'Ni3 Pb3 Se6'
_symmetry_space_group_name_H-M 'R -3 m'
_symmetry_Int_Tables_number 166
_symmetry_space_group_name_Hall '-R 3 2"'
_cell_length_a 4.4645
_cell_length_b 4.4645
_cell_length_c 22.5142
_cell_angle_alpha 90.00
_cell_angle_beta 90.00
_cell_angle_gamma 120.00
loop_
_atom_site_label
_atom_site_type_symbol
_atom_site_fract_x
_atom_site_fract_y
_atom_site_fract_z
Ni1 Ni 0.0000 0.0000 0.0000
Pb1 Pb 0.0000 0.0000 0.5000
Se1 Se 0.0000 0.0000 0.0979
```



No. 3
First-principles (PBE) data for crystalline NiPbSe2 at its relaxed geometry, as listed in the Alexandria database.

The structure in CIF format:
```
data_NiPbSe2
_chemical_formula_sum 'Ni1 Pb1 Se2'
_symmetry_space_group_name_H-M 'P 4/m m m'
_symmetry_Int_Tables_number 123
_symmetry_space_group_name_Hall '-P 4 2'
_cell_length_a 3.274
_cell_length_b 3.274
_cell_length_c 7.663
_cell_angle_alpha 90.00
_cell_angle_beta 90.00
_cell_angle_gamma 90.00
loop_
_atom_site_label
_atom_site_type_symbol
_atom_site_fract_x
_atom_site_fract_y
_atom_site_fract_z
Ni1 Ni 0.000 0.000 0.000
Pb1 Pb 0.000 0.000 0.500
Se1 Se 0.500 0.500 0.184
```



Final energy: -17.09, -48.54, -15.98 (eV/cell)